Material: TmTaBe17
Method: DFT, PBE-GGA
State: optimized geometry

Results
As for the calculated total energy: -4.36 eV/atom. As for the crystal system: trigonal. The density is 4.7 Mg/m³. The value obtained for the magnetization is 0.00 μB/cell. Its energy relative to the elements is -170 meV/atom.

CIF file:
```
data_TmTaBe17
_cell_length_a 7.4933
_cell_length_b 7.4933
_cell_length_c 10.9396
_cell_angle_alpha 90.00
_cell_angle_beta 90.00
_cell_angle_gamma 120.00
_space_group_name_H-M_alt 'R 3 m'
_space_group_IT_number 160
_space_group_name_Hall 'R 3 -2"'
loop_
_atom_site_label
_atom_site_fract_x
_atom_site_fract_y
_atom_site_fract_z
Tm1 0.0000 0.0000 0.0000
Ta1 0.0000 0.0000 0.3255
Be1 0.0000 0.0000 0.5619
Be2 0.0000 0.0000 0.7545
Be3 0.0038 0.5019 0.1593
Be4 0.0473 0.3778 0.3283
Be5 0.1676 0.3352 0.1532
Be6 0.1694 0.3389 0.8383
```

=====

Material: UTaBe4
Method: DFT, PBE-GGA
State: optimized geometry

Results
As for the calculated total energy: -6.14 eV/atom. As for the crystal system: cubic. The density is 9.8 Mg/m³. The value obtained for the magnetization is 7.43 μB/cell. Its energy relative to the elements is 198 meV/atom.

CIF file:
```
data_UTaBe4
_cell_length_a 6.759
_cell_length_b 6.759
_cell_length_c 6.759
_cell_angle_alpha 90.00
_cell_angle_beta 90.00
_cell_angle_gamma 90.00
_space_group_name_H-M_alt 'F -4 3 m'
_space_group_IT_number 216
_space_group_name_Hall 'F -4 2 3'
loop_
_atom_site_label
_atom_site_fract_x
_atom_site_fract_y
_atom_site_fract_z
U1 0.000 0.000 0.000
Ta1 0.250 0.250 0.250
Be1 0.125 0.125 0.625
```

=====

Material: UTaBe
Method: DFT, PBE-GGA
State: optimized geometry

Results
As for the calculated total energy: -8.39 eV/atom. As for the crystal system: orthorhombic. The density is 14.0 Mg/m³. The value obtained for the magnetization is 2.56 μB/cell. Its energy relative to the elements is 568 meV/atom.

CIF file:
```
data_UTaBe
_cell_length_a 2.655
_cell_length_b 4.938
_cell_length_c 15.439
_cell_angle_alpha 90.00
_cell_angle_beta 90.00
_cell_angle_gamma 90.00
_space_group_name_H-M_alt 'I m m m'
_space_group_IT_number 71
_space_group_name_Hall '-I 2 2'
loop_
_atom_site_label
_atom_site_fract_x
_atom_site_fract_y
_atom_site_fract_z
U1 0.000 0.250 0.000
Ta1 0.000 0.000 0.315
Be1 0.000 0.000 0.156
```

=====

Material: TaBeV3
Method: DFT, PBE-GGA
State: optimized geometry

Results
As for the calculated total energy: -6.81 eV/atom. As for the crystal system: cubic. The density is 5.9 Mg/m³. The calculation puts the relative energy among the computed polymorphs at 587 kJ/mol of formula units. The value obtained for the magnetization is 0.71 μB/cell. Its energy relative to the elements is 1782 meV/atom.

CIF file:
```
data_TaBeV3
_cell_length_a 4.578
_cell_length_b 4.578
_cell_length_c 4.578
_cell_angle_alpha 90.00
_cell_angle_beta 90.00
_cell_angle_gamma 90.00
_space_group_name_H-M_alt 'P m -3 m'
_space_group_IT_number 221
_space_group_name_Hall '-P 4 2 3'
loop_
_atom_site_label
_atom_site_fract_x
_atom_site_fract_y
_atom_site_fract_z
Ta1 0.000 0.000 0.000
Be1 0.500 0.500 0.500
V1 0.000 0.000 0.500
```

=====

- Look up the energy relative to the elements of the third one.
  568 meV/atom

=====

Copy entry 3 word for word.
Material: UTaBe
Method: DFT, PBE-GGA
State: optimized geometry

Results
As for the calculated total energy: -8.39 eV/atom. As for the crystal system: orthorhombic. The density is 14.0 Mg/m³. The value obtained for the magnetization is 2.56 μB/cell. Its energy relative to the elements is 568 meV/atom.

CIF file:
```
data_UTaBe
_cell_length_a 2.655
_cell_length_b 4.938
_cell_length_c 15.439
_cell_angle_alpha 90.00
_cell_angle_beta 90.00
_cell_angle_gamma 90.00
_space_group_name_H-M_alt 'I m m m'
_space_group_IT_number 71
_space_group_name_Hall '-I 2 2'
loop_
_atom_site_label
_atom_site_fract_x
_atom_site_fract_y
_atom_site_fract_z
U1 0.000 0.250 0.000
Ta1 0.000 0.000 0.315
Be1 0.000 0.000 0.156
```